Record 1
Computed, not measured: crystalline CoH3Rh2 at its relaxed geometry at the GGA-PBE level of DFT.

```
CoH3Rh2
1.0
0.0368 2.6490 0.9566
-0.9983 0.9138 -2.4703
-5.0076 -2.4407 2.7484
Rh H Co
2 3 1
direct
0.7760 0.7774 0.5580 Rh
0.0923 0.0938 0.1900 Rh
0.5938 0.5952 0.1935 H
0.9345 0.9360 0.8739 H
0.2746 0.2760 0.5543 H
0.4342 0.4357 0.8740 Co
```

## Properties
Theoretical density in kg/m³: 9538
Magnetization in μB/f.u.: 2.6
Final energy in eV per cell: -31.768



Record 2
Computed, not measured: crystalline Co4HRh at its relaxed geometry at the GGA-PBE level of DFT.

```
Co4HRh
1.0
-2.1200 1.3953 0.5272
1.3211 -1.8477 3.8396
6.3737 1.9563 1.3239
Co Rh H
4 1 1
direct
0.5026 0.1024 0.8025 Co
0.5154 0.3071 0.4095 Co
0.4872 0.6983 0.5942 Co
0.5000 0.9030 0.2012 Co
0.5013 0.5027 0.0019 Rh
0.0013 0.0027 0.5019 H
```

## Properties
Theoretical density in kg/m³: 9340
Magnetization in μB/f.u.: 7.0
Final energy in eV per cell: -38.871



Record 3
Computed, not measured: crystalline Co2H3Rh at its relaxed geometry at the GGA-PBE level of DFT.

```
Co2H3Rh
1.0
-5.6356 0.7118 1.9155
-5.7085 -0.6813 -1.6982
5.6805 -1.8224 0.5879
H Co Rh
3 2 1
direct
0.8293 0.8293 0.0000 H
0.5000 0.5000 0.0000 H
0.1707 0.1707 0.0000 H
0.3252 0.3252 0.0000 Co
0.6748 0.6748 0.0000 Co
0.0000 0.0000 0.0000 Rh
```

## Properties
Theoretical density in kg/m³: 8732
Magnetization in μB/f.u.: 3.0
Final energy in eV per cell: -31.496



Among the records above, which one has the lowest theoretical density? Co2H3Rh



Repeat the first record exactly.
Computed, not measured: crystalline CoH3Rh2 at its relaxed geometry at the GGA-PBE level of DFT.

```
CoH3Rh2
1.0
0.0368 2.6490 0.9566
-0.9983 0.9138 -2.4703
-5.0076 -2.4407 2.7484
Rh H Co
2 3 1
direct
0.7760 0.7774 0.5580 Rh
0.0923 0.0938 0.1900 Rh
0.5938 0.5952 0.1935 H
0.9345 0.9360 0.8739 H
0.2746 0.2760 0.5543 H
0.4342 0.4357 0.8740 Co
```

## Properties
Theoretical density in kg/m³: 9538
Magnetization in μB/f.u.: 2.6
Final energy in eV per cell: -31.768